The following is a DFT calculation (PBE-GGA) of a relaxed Mg2MnTe crystal.

raw total energy	-3.69	eV/atom
M_tot	4.24	μB per formula unit

a = 8.101 Å, b = 8.101 Å, c = 6.444 Å
α = 51.06°, β = 51.06°, γ = 90.00°
Last column: magnetic moment on the atom in μB.
Element x y z (fractional)
Mg  0.633  0.125  0.250  -0.02
Mg  0.375  0.367  0.750  -0.02
Te  0.750  0.250  0.500  0.00
Mg  0.875  0.883  0.750  -0.01
Mn  0.500  0.500  0.000  4.01
Mg  0.117  0.625  0.250  -0.01
Te  0.000  0.000  0.000  0.00
Mn  0.250  0.750  0.500  4.01



The following is a DFT calculation (PBE-GGA) of a relaxed MgMn2Te crystal.

raw total energy	-5.33	eV/atom
M_tot	1.92	μB per formula unit

a = 4.353 Å, b = 4.353 Å, c = 4.353 Å
α = 60.00°, β = 60.00°, γ = 60.00°
Last column: magnetic moment on the atom in μB.
Element x y z (fractional)
Mg  0.000  0.000  0.000  -0.02
Mn  0.750  0.750  0.750  0.98
Te  0.500  0.500  0.500  -0.06
Mn  0.250  0.250  0.250  0.98



The following is a DFT calculation (PBE-GGA) of a relaxed MgMn2Te crystal.

raw total energy	-5.60	eV/atom
M_tot	7.24	μB per formula unit

a = 3.588 Å, b = 3.588 Å, c = 5.874 Å
α = 90.00°, β = 90.00°, γ = 90.00°
Last column: magnetic moment on the atom in μB.
Element x y z (fractional)
Mn  0.000  0.000  0.016  3.54
Mg  0.500  0.500  0.770  -0.03
Te  0.000  0.000  0.479  -0.01
Mn  0.500  0.500  0.234  3.50



The following is a DFT calculation (PBE-GGA) of a relaxed Mg2MnTe crystal.

raw total energy	-3.89	eV/atom
M_tot	3.73	μB per formula unit

a = 3.757 Å, b = 3.788 Å, c = 7.044 Å
α = 57.40°, β = 90.00°, γ = 90.00°
Last column: magnetic moment on the atom in μB.
Element x y z (fractional)
Mg  0.000  0.514  0.486  -0.03
Mg  0.000  0.986  0.014  -0.03
Te  0.500  0.750  0.750  0.03
Mn  0.500  0.250  0.250  3.69